[1]
Computed, not measured: an optimized crystal structure of CdNi2Cl at the PBE-GGA level of DFT.

Structure (POSCAR):
```
CdNi2Cl
1.0
3.828 0.000 0.000
0.000 2.951 0.000
-0.016 0.000 6.157
Cd Ni Cl
1 2 1
Cartesian
0.000 0.000 0.000
1.899 1.476 4.924
1.913 1.476 1.233
1.906 0.000 3.079
```

Results
* offset from the most stable computed form: 0.15 eV per formula unit
* D(E_F): 0.9373 states/eV/atom

=====

[2]
Computed, not measured: an optimized crystal structure of CdNi2Cl at the PBE-GGA level of DFT.

Structure (POSCAR):
```
CdNi2Cl
1.0
-1.451 2.669 4.133
1.451 -2.669 4.133
1.451 2.669 -4.133
Cd Ni Cl
1 2 1
Cartesian
0.000 0.000 0.000
1.451 0.000 2.257
0.000 2.669 1.876
0.000 0.000 4.133
```

Results
* offset from the most stable computed form: 1.12 eV per formula unit
* D(E_F): 1.2046 states/eV/atom

=====

[3]
Computed, not measured: an optimized crystal structure of CdNi2Cl at the PBE-GGA level of DFT.

Structure (POSCAR):
```
CdNi2Cl
1.0
0.000 3.171 3.171
3.171 0.000 3.171
3.171 3.171 0.000
Cd Ni Cl
1 2 1
Cartesian
0.000 0.000 0.000
1.586 1.586 1.586
3.171 3.171 3.171
4.757 4.757 4.757
```

Results
* offset from the most stable computed form: 2.08 eV per formula unit
* D(E_F): 2.0884 states/eV/atom

=====

[4]
Computed, not measured: an optimized crystal structure of CdNi2Cl at the PBE-GGA level of DFT.

Structure (POSCAR):
```
CdNi2Cl
1.0
1.577 0.911 7.826
-1.577 0.911 7.826
0.000 -1.821 7.826
Cd Ni Cl
1 2 1
Cartesian
0.000 0.000 0.000
0.000 0.000 11.408
0.000 0.000 17.627
0.000 0.000 5.031
```

Results
* offset from the most stable computed form: 0.35 eV per formula unit
* D(E_F): 1.2196 states/eV/atom

=====

What is the D(E_F) in the first record?
0.9373 states/eV/atom

=====

The lowest D(E_F) belongs to which entry?
number 1

=====

Which of these has the lowest offset from the most stable computed form?
number 1

=====

Among the records above, which one has the lowest D(E_F)?
number 1